No. 1
DFT (PBE) results for a geometry-optimized Ca2Pr2O5 structure.

abc: 4.2965 4.2965 7.8047
angles: 90.00 90.00 90.00
With the nearest neighbours (Å) after each atom.
Atoms (fractional coordinates):
O  0.0000  0.5000  0.8122  2 Ca 2.17
O  0.5000  0.0000  0.1878  2 Ca 2.17
O  0.0000  0.0000  0.5000  2 Ca 2.11
O  0.5000  0.0000  0.8122  2 Ca 2.17
O  0.0000  0.5000  0.1878  2 Ca 2.17
Ca  0.0000  0.0000  0.7709  5 O 2.11-2.17
Ca  0.0000  0.0000  0.2291  5 O 2.11-2.17
Pr  0.5000  0.5000  0.0000  8 O 2.60
Pr  0.5000  0.5000  0.5000  12 O 3.04-3.25

volume	16.01	A^3/atom
total DFT energy (no corrections)	-6.836	eV/atom
total moment	0.000	μB per atom
uncorrected formation energy	-2.57	eV/atom

No. 2
DFT (PBE) results for a geometry-optimized CaPrO structure.

abc: 3.5606 6.9721 7.2433
angles: 54.37 75.77 75.21
With the nearest neighbours (Å) after each atom.
Atoms (fractional coordinates):
O  0.2501  0.2173  0.2825  3 Ca 2.37-2.38, 2 Pr 2.60
O  0.7499  0.7827  0.7175  3 Ca 2.37-2.38, 2 Pr 2.60
Ca  0.3597  0.7952  0.4853  3 O 2.37-2.38
Ca  0.6403  0.2048  0.5147  3 O 2.37-2.38
Pr  0.8605  0.3026  0.9764  3 O 2.60-2.69
Pr  0.1395  0.6974  0.0236  3 O 2.60-2.69

volume	23.37	A^3/atom
N(E_F)	0.903	states/eV per atom
total DFT energy (no corrections)	-5.597	eV/atom
total moment	0.029	μB per atom
uncorrected formation energy	-1.68	eV/atom

No. 3
DFT (PBE) results for a geometry-optimized CaPrO structure.

abc: 3.5641 3.5641 6.3543
angles: 90.00 90.00 120.00
With the nearest neighbours (Å) after each atom.
Atoms (fractional coordinates):
O  0.3333  0.6667  0.6898  3 Ca 2.39, 3 Pr 2.65
Ca  0.0000  0.0000  0.8821  3 O 2.39
Pr  0.6667  0.3333  0.4281  3 O 2.65

volume	23.30	A^3/atom
N(E_F)	0.593	states/eV per atom
total DFT energy (no corrections)	-5.597	eV/atom
total moment	0.307	μB per atom
uncorrected formation energy	-1.68	eV/atom